GGA+U SrCr2F6, optimized geometry; energy = -6.107 eV/atom; mass density = 3.53 g cm⁻³; crystal system = monoclinic
1.0
-2.826 4.194 -1.144
-4.387 -3.328 -0.517
1.336 2.750 5.101
F Sr Cr
6 1 2
Cartesian
-1.539 3.968 1.003
-1.915 0.895 1.227
-3.601 1.888 -0.902
-4.338 -0.351 2.437
-3.962 2.721 2.213
-2.276 1.729 4.342
0.000 0.000 0.000
-3.879 0.802 0.776
-1.997 2.815 2.664